# ReTc GGA-PBE optimized geometry
data_ReTc
_space_group_name_H-M_alt 'P 1'
_space_group_IT_number 1
_space_group_name_Hall 'P 1'
_cell_length_a 4.455
_cell_length_b 4.792
_cell_length_c 2.765
_cell_angle_alpha 90.00
_cell_angle_beta 90.00
_cell_angle_gamma 90.00
loop_
_atom_site_label
_atom_site_fract_x
_atom_site_fract_y
_atom_site_fract_z
Tc1 0.500 0.335 0.000
Tc2 0.000 0.498 0.500
Re1 0.500 0.832 0.500
Re2 0.000 0.001 0.000
# V (Å³/cell): 59
# Calculated formation energy (meV per atom): 4


# GaIrRhO6 GGA-PBE optimized geometry
data_GaIrRhO6
_space_group_name_H-M_alt 'P 1'
_space_group_IT_number 1
_space_group_name_Hall 'P 1'
_cell_length_a 5.090
_cell_length_b 5.090
_cell_length_c 8.462
_cell_angle_alpha 90.00
_cell_angle_beta 90.00
_cell_angle_gamma 120.00
loop_
_atom_site_label
_atom_site_fract_x
_atom_site_fract_y
_atom_site_fract_z
O1 0.658 0.657 0.126
O2 0.999 0.657 0.374
O3 0.658 0.001 0.374
O4 0.657 0.658 0.626
O5 0.001 0.343 0.626
O6 0.657 0.999 0.874
O7 0.342 0.999 0.626
O8 0.001 0.658 0.874
O9 0.343 0.001 0.126
O10 0.342 0.343 0.874
O11 0.999 0.342 0.126
O12 0.343 0.342 0.374
Ir1 0.333 0.667 0.750
Ir2 0.667 0.333 0.250
Rh1 0.000 0.000 0.000
Rh2 0.000 0.000 0.500
Ga1 0.667 0.333 0.750
Ga2 0.333 0.667 0.250
# Formation energy from raw total energies (eV/atom): -0.92
# V (Å³/cell): 190


Among the records above, which one has the highest V? GaIrRhO6


Among the records above, which one has the highest V? GaIrRhO6